GGA-PBEsol Hg3Pb, relaxed; E_tot = -1.413 eV/atom; energy of formation from the pure elements = 0.011 eV/atom; SG = P4/mmm, No. 123
1.0
3.725 0.000 0.000
0.000 3.725 0.000
0.000 0.000 7.119
Hg Pb
3 1
direct
0.000 0.000 0.767
0.500 0.500 0.000
0.000 0.000 0.233
0.500 0.500 0.500

***

GGA-PBEsol Hg2Pb, relaxed; energy above the lowest structure with this stoichiometry = 0.000 eV/atom; E_tot = -1.704 eV/atom; energy of formation from the pure elements = 0.007 eV/atom; SG = P6/mmm, No. 191
1.0
3.329 0.000 0.000
0.000 5.099 0.000
0.000 -2.549 4.416
Hg Pb
2 1
direct
0.500 0.333 0.667
0.500 0.667 0.333
0.000 0.000 0.000

***

GGA-PBEsol Hg3Pb, relaxed; E_tot = -1.408 eV/atom; energy of formation from the pure elements = 0.017 eV/atom; SG = R-3m, No. 166
1.0
3.400 0.000 0.000
1.700 2.945 0.000
1.700 0.982 10.002
Hg Pb
3 1
direct
0.500 0.500 0.500
0.755 0.755 0.736
0.245 0.245 0.264
0.000 0.000 0.000

***

GGA-PBEsol Hg5Pb3, relaxed; energy above the lowest structure with this stoichiometry = 0.010 eV/atom; E_tot = -1.796 eV/atom; energy of formation from the pure elements = 0.057 eV/atom; SG = I4/mcm, No. 140
1.0
6.069 0.000 0.000
3.034 8.304 0.000
3.034 0.000 8.304
Pb Hg
6 10
direct
0.818 0.863 0.500
0.182 0.137 0.500
0.750 0.000 0.000
0.682 0.500 0.137
0.250 0.000 0.000
0.318 0.500 0.863
0.435 0.822 0.308
0.250 0.500 0.500
0.743 0.692 0.822
0.565 0.178 0.692
0.065 0.692 0.178
0.243 0.822 0.692
0.757 0.178 0.308
0.750 0.500 0.500
0.257 0.308 0.178
0.935 0.308 0.822

***

GGA-PBEsol Hg3Pb, relaxed; E_tot = -1.395 eV/atom; energy of formation from the pure elements = 0.030 eV/atom; SG = P6_3/mmc, No. 194
1.0
-4.530 3.091 -0.636
-3.665 -5.140 1.128
1.867 3.737 4.865
Hg Pb
6 2
direct
0.750 0.670 0.835
0.250 0.330 0.165
0.750 0.165 0.835
0.750 0.165 0.330
0.250 0.835 0.670
0.250 0.835 0.165
0.250 0.333 0.667
0.750 0.667 0.333

***

GGA-PBEsol HgPb3, relaxed; E_tot = -3.070 eV/atom; energy of formation from the pure elements = 0.071 eV/atom; SG = Pm-3n, No. 223
1.0
-4.212 1.771 4.055
-0.420 -5.733 2.068
4.405 1.146 4.074
Pb Hg
6 2
direct
0.250 0.500 0.000
0.000 0.750 0.500
0.000 0.250 0.500
0.500 0.000 0.750
0.500 0.000 0.250
0.750 0.500 0.000
0.000 0.000 0.000
0.500 0.500 0.500

***

GGA-PBEsol HgPb, relaxed; E_tot = -2.269 eV/atom; energy of formation from the pure elements = 0.014 eV/atom; SG = P-3m1, No. 164
1.0
3.447 0.000 0.000
-1.723 2.985 0.000
0.000 0.000 10.355
Pb Hg
2 2
direct
0.333 0.667 0.638
0.667 0.333 0.362
0.333 0.667 0.111
0.667 0.333 0.889

***

GGA-PBEsol HgPb3, relaxed; E_tot = -3.136 eV/atom; energy of formation from the pure elements = 0.005 eV/atom; SG = C2/m, No. 12
1.0
-1.852 2.879 -0.756
-1.529 0.487 5.603
5.647 1.553 0.211
Pb Hg
3 1
direct
0.255 0.758 0.510
0.745 0.242 0.490
0.500 0.500 0.000
0.000 0.000 0.000

***

GGA-PBEsol HgPb, relaxed; E_tot = -2.263 eV/atom; energy of formation from the pure elements = 0.020 eV/atom; SG = Pmmn, No. 59
1.0
3.340 0.000 0.000
0.000 5.538 0.000
0.000 0.000 5.737
Pb Hg
2 2
direct
0.500 0.000 0.094
0.000 0.500 0.906
0.000 0.000 0.582
0.500 0.500 0.418

***

GGA-PBEsol Hg2Pb3, relaxed; E_tot = -2.613 eV/atom; energy of formation from the pure elements = 0.013 eV/atom; SG = R-3m, No. 166
1.0
3.453 0.000 0.000
1.726 2.990 0.000
1.726 0.997 13.123
Hg Pb
2 3
direct
0.398 0.398 0.805
0.602 0.602 0.195
0.797 0.797 0.608
0.000 0.000 0.000
0.203 0.203 0.392

***

GGA-PBEsol Hg4Pb3, relaxed; E_tot = -2.028 eV/atom; energy of formation from the pure elements = 0.010 eV/atom; SG = I4/mmm, No. 139
1.0
-2.943 -2.296 -0.235
1.803 -2.049 -2.557
5.537 -5.153 10.769
Pb Hg
3 4
direct
0.708 0.708 0.415
0.292 0.292 0.585
0.000 0.000 0.000
0.426 0.426 0.853
0.864 0.864 0.729
0.574 0.574 0.147
0.136 0.136 0.271

***

GGA-PBEsol HgPb, relaxed; E_tot = -2.268 eV/atom; energy of formation from the pure elements = 0.014 eV/atom; SG = P-6m2, No. 187
1.0
3.419 0.000 0.000
-1.710 2.961 0.000
0.000 0.000 5.231
Hg Pb
1 1
direct
0.000 0.000 0.000
0.333 0.667 0.500

***

GGA-PBEsol HgPb4, relaxed; energy above the lowest structure with this stoichiometry = 0.007 eV/atom; E_tot = -3.307 eV/atom; energy of formation from the pure elements = 0.006 eV/atom; SG = R-3m, No. 166
1.0
3.456 0.000 0.000
1.728 2.993 0.000
1.728 0.998 13.721
Pb Hg
4 1
direct
0.201 0.201 0.397
0.799 0.799 0.603
0.604 0.604 0.188
0.396 0.396 0.812
0.000 0.000 0.000

***

GGA-PBEsol HgPb3, relaxed; E_tot = -3.137 eV/atom; energy of formation from the pure elements = 0.003 eV/atom; SG = I4/mmm, No. 139
1.0
-4.347 1.589 1.028
-1.703 -2.162 -3.860
2.161 -3.804 4.088
Pb Hg
3 1
direct
0.250 0.750 0.500
0.500 0.500 0.000
0.750 0.250 0.500
0.000 0.000 0.000

***

GGA-PBEsol HgPb, relaxed; E_tot = -2.249 eV/atom; energy of formation from the pure elements = 0.034 eV/atom; SG = R-3m, No. 166
1.0
-3.141 3.392 -2.296
-4.866 0.529 1.638
-1.325 4.547 2.728
Hg Pb
2 2
direct
0.371 0.371 0.888
0.629 0.629 0.112
0.120 0.120 0.639
0.880 0.880 0.361

***

GGA-PBEsol Hg3Pb, relaxed; E_tot = -1.398 eV/atom; energy of formation from the pure elements = 0.027 eV/atom; SG = Pmmn, No. 59
1.0
-3.381 -0.993 4.279
2.139 -5.073 0.513
4.458 2.290 4.055
Hg Pb
6 2
direct
0.000 0.860 0.255
0.500 0.140 0.755
0.000 0.860 0.745
0.000 0.343 0.500
0.500 0.657 0.000
0.500 0.140 0.245
0.500 0.636 0.500
0.000 0.364 0.000

***

GGA-PBEsol Hg2Pb, relaxed; energy above the lowest structure with this stoichiometry = 0.068 eV/atom; E_tot = -1.636 eV/atom; energy of formation from the pure elements = 0.075 eV/atom; SG = I4/mcm, No. 140
1.0
-5.952 -0.181 0.477
2.498 -4.440 3.120
-1.677 0.684 5.692
Pb Hg
2 4
direct
0.000 0.250 0.750
0.000 0.750 0.250
0.800 0.650 0.850
0.500 0.150 0.650
0.500 0.850 0.350
0.200 0.350 0.150

***

GGA-PBEsol HgPb, relaxed; E_tot = -2.256 eV/atom; energy of formation from the pure elements = 0.027 eV/atom; SG = P2_13, No. 198
1.0
-2.138 -5.363 1.559
0.195 -1.740 -5.719
5.582 -1.994 0.797
Hg Pb
4 4
direct
0.404 0.404 0.404
0.096 0.596 0.904
0.904 0.096 0.596
0.596 0.904 0.096
0.401 0.901 0.599
0.901 0.599 0.401
0.599 0.401 0.901
0.099 0.099 0.099

***

GGA-PBEsol HgPb, relaxed; E_tot = -2.270 eV/atom; energy of formation from the pure elements = 0.013 eV/atom; SG = P4/nmm, No. 129
1.0
-1.675 -2.935 -0.836
2.582 -0.855 -2.172
4.031 -4.126 6.415
Pb Hg
2 2
direct
0.000 0.500 0.358
0.500 0.000 0.642
0.000 0.500 0.893
0.500 0.000 0.107

***

GGA-PBEsol Hg2Pb, relaxed; energy above the lowest structure with this stoichiometry = 0.012 eV/atom; E_tot = -1.692 eV/atom; energy of formation from the pure elements = 0.019 eV/atom; SG = Cm, No. 8
1.0
-0.329 -3.383 -0.888
6.269 1.198 0.062
-1.555 -1.674 6.954
Hg Pb
4 2
direct
0.360 0.720 0.719
0.363 0.725 0.225
0.017 0.033 0.058
0.703 0.406 0.381
0.032 0.063 0.544
0.693 0.386 0.906

***

GGA-PBEsol Hg2Pb, relaxed; energy above the lowest structure with this stoichiometry = 0.005 eV/atom; E_tot = -1.698 eV/atom; energy of formation from the pure elements = 0.012 eV/atom; SG = C2/m, No. 12
1.0
3.501 0.000 0.000
-1.751 5.849 -0.110
0.000 -2.220 7.415
Hg Pb
4 2
direct
0.032 0.065 0.261
0.968 0.935 0.739
0.651 0.301 0.039
0.349 0.699 0.961
0.667 0.333 0.621
0.333 0.667 0.379

***

GGA-PBEsol Hg5Pb24, relaxed; E_tot = -3.374 eV/atom; energy of formation from the pure elements = 0.033 eV/atom; SG = I-43m, No. 217
1.0
10.359 0.000 0.000
-3.453 9.766 0.000
-3.453 -4.883 8.458
Pb Hg
24 5
direct
0.722 0.306 0.306
0.188 0.805 0.805
0.415 0.694 0.000
0.306 0.722 0.306
0.585 0.585 0.278
0.306 0.306 0.722
0.617 0.617 0.812
0.383 0.195 0.000
0.000 0.383 0.195
0.805 0.188 0.805
0.812 0.617 0.617
0.278 0.585 0.585
0.195 0.383 0.000
0.000 0.195 0.383
0.000 0.415 0.694
0.805 0.805 0.188
0.617 0.812 0.617
0.694 0.415 0.000
0.585 0.278 0.585
0.383 0.000 0.195
0.415 0.000 0.694
0.000 0.694 0.415
0.694 0.000 0.415
0.195 0.000 0.383
0.661 0.000 0.000
0.000 0.000 0.000
0.339 0.339 0.339
0.000 0.000 0.661
0.000 0.661 0.000

***

GGA-PBEsol Hg3Pb, relaxed; E_tot = -1.397 eV/atom; energy of formation from the pure elements = 0.028 eV/atom; SG = P-6m2, No. 187
1.0
3.465 0.000 0.000
-1.733 3.001 0.000
0.000 0.000 9.636
Hg Pb
3 1
direct
0.000 0.000 0.235
0.333 0.667 0.000
0.000 0.000 0.765
0.333 0.667 0.500

***

GGA-PBEsol Hg3Pb, relaxed; E_tot = -1.409 eV/atom; energy of formation from the pure elements = 0.016 eV/atom; SG = Immm, No. 71
1.0
-3.364 -0.268 -0.403
0.480 -5.496 -0.352
0.844 2.494 5.620
Hg Pb
3 1
direct
0.241 0.241 0.483
0.759 0.759 0.517
0.500 0.000 0.000
0.000 0.500 0.000

***

GGA-PBEsol HgPb, relaxed; E_tot = -2.266 eV/atom; energy of formation from the pure elements = 0.017 eV/atom; SG = Cmmm, No. 65
1.0
-2.736 -0.431 -1.860
0.555 -2.525 2.109
-2.836 2.397 3.617
Hg Pb
1 1
direct
0.000 0.000 0.000
0.500 0.500 0.500

***

GGA-PBEsol HgPb4, relaxed; energy above the lowest structure with this stoichiometry = 0.000 eV/atom; E_tot = -3.314 eV/atom; energy of formation from the pure elements = -0.002 eV/atom; SG = I4/m, No. 87
1.0
-1.549 1.000 4.135
-0.624 -4.916 3.434
4.473 1.105 3.887
Hg Pb
1 4
direct
0.000 0.000 0.000
0.408 0.800 0.385
0.592 0.200 0.615
0.792 0.615 0.800
0.208 0.385 0.200

***

GGA-PBEsol Hg3Pb, relaxed; E_tot = -1.409 eV/atom; energy of formation from the pure elements = 0.016 eV/atom; SG = Cmmm, No. 65
1.0
3.459 0.707 0.000
-0.926 3.407 0.000
0.000 0.000 7.925
Pb Hg
1 3
direct
0.500 0.500 0.500
0.000 0.000 0.233
0.500 0.500 0.000
0.000 0.000 0.767